NbGaNiAs2 GGA-PBE optimized geometry; formation energy = 0.49 eV/atom; size of the total moment = 0.589 μB/f.u.; electronic total energy = -5.141 eV/atom
1.0
4.413 0.000 0.000
0.000 4.413 0.000
0.000 0.000 5.026
Nb Ga Ni As
1 1 1 2
Direct
0.000 0.000 0.000
0.500 0.500 0.000
0.000 0.000 0.500
0.000 0.500 0.500
0.500 0.000 0.500